An optimized crystal structure of DyS2. Source: Alexandria via LeMat-Bulk, functional PBE-GGA. Values from VASP.

Values from the calculation:
Space group: P4/nmm
Total moment (μB/f.u.): 0.00
D(E_F) (states/eV per cell): 0.55
Energy (eV per atom): -5.955

Structure (Quantum ESPRESSO input):
```
&SYSTEM
  ibrav = 0, nat = 6, ntyp = 2
/
ATOMIC_SPECIES
S 32.06 S.upf
Dy 162.50 Dy.upf
ATOMIC_POSITIONS angstrom
S 0.0000 0.0000 0.0000
S 1.9278 0.0000 5.0355
S 1.9278 1.9278 0.0000
S 0.0000 1.9278 2.9373
Dy 0.0000 1.9278 5.7902
Dy 1.9278 0.0000 2.1826
CELL_PARAMETERS angstrom
3.8556 0.0000 0.0000
0.0000 3.8556 0.0000
0.0000 0.0000 7.9728
```